Here is a relaxed AlCu2Pd2 crystal from Alexandria via LeMat-Bulk. Energies are from PBE-GGA.

Summary:
The calculation puts the calculated formation energy at -211 meV per atom. The calculation puts the density of states at the Fermi level at 0.2965 states/eV per atom. As for the total DFT energy (no corrections): -4.6754 eV/atom. The calculation puts the volume at 74 Å³ per cell. For the energy above the lowest structure with this stoichiometry, the calculation gives 105 meV/atom.

POSCAR file:
```
AlCu2Pd2
1.0
3.250 0.000 0.000
0.000 3.250 0.000
1.625 1.625 7.011
Cu Pd Al
2 2 1
Direct
0.750 0.250 0.500
0.250 0.750 0.500
0.402 0.402 0.196
0.598 0.598 0.804
0.000 0.000 0.000
```